Density functional theory data (GGA-PBE) for an optimized crystal structure of Cd4Os3.

The structure in POSCAR format:
```
Cd4Os3
1.0
-1.4403 1.4403 15.1012
1.4403 -1.4403 15.1012
1.4403 1.4403 -15.1012
Os Cd
3 4
Direct
0.7236 0.7236 0.0000
0.0000 0.0000 0.0000
0.2764 0.2764 0.0000
0.1524 0.1524 0.0000
0.8476 0.8476 0.0000
0.5690 0.5690 0.0000
0.4310 0.4310 0.0000
```

Summary:
**Space group**: I4/mmm (139)
**Energy of formation**: 401 meV per atom
**Total magnetic moment**: 1.14 μB/cell
**Uncorrected energy**: -4.935 eV/atom
**ρ**: 13.5 g cm⁻³